No. 1
Compound: AlOsAu2
Source: Alexandria
Functional: PBE-GGA
Structure: optimized geometry

a b c (Å): 5.4686 7.8439 3.0196
angles (deg): 90.00 90.00 90.00
Closest atoms and distances in Å follow each position.
Space group Cmmm (No. 65)
Unique sites:
Al: 0.0000 0.0000 0.0000 [2 per cell]  2 Os 2.73, 8 Au 2.83, 2 Al 3.02
Os: 0.0000 0.5000 0.0000 [2 per cell]  2 Al 2.73, 8 Au 2.83, 2 Os 3.02
Au: 0.2500 0.2500 0.5000 [4 per cell]  4 Au 2.73-3.02, 4 Os 2.83, 4 Al 2.83

The formation energy from the elements comes out at 0.79 eV/f.u. The electronic total energy is -5.19 eV/atom.



No. 2
Compound: Ca2Ge2Pd
Source: Alexandria
Functional: PBE-GGA
Structure: optimized geometry

a b c (Å): 9.8940 5.8086 7.8961
angles (deg): 90.00 101.59 90.00
Closest atoms and distances in Å follow each position.
Space group C2/c (No. 15)
Unique sites:
Ca: 0.1490 0.1303 0.1479 [8 per cell]  6 Ge 3.06-3.17, 2 Pd 3.34-3.41
Ge: 0.1314 0.3599 0.5020 [8 per cell]  2 Pd 2.56-2.60, 1 Ge 2.68
Pd: 0.0000 0.3864 0.7500 [4 per cell]  4 Ge 2.56-2.60

The formation energy from the elements comes out at -3.27 eV/f.u. The electronic total energy is -4.34 eV/atom.



No. 3
Compound: Er4GaHg
Source: Alexandria
Functional: PBE-GGA
Structure: optimized geometry

a b c (Å): 4.9645 4.9645 7.1072
angles (deg): 90.00 90.00 90.00
Closest atoms and distances in Å follow each position.
Space group P4/mmm (No. 123)
Unique sites:
Er: 0.0000 0.5000 0.2467 [4 per cell]  2 Ga 3.04, 2 Hg 3.07
Ga: 0.0000 0.0000 0.0000 [1 per cell]  8 Er 3.04
Hg: 0.5000 0.5000 0.5000 [1 per cell]  8 Er 3.07

The formation energy from the elements comes out at -1.07 eV/f.u. The electronic total energy is -3.77 eV/atom.